No. 1
CeDySO2, optimized geometry, DFT GGA-PBE; formation energy (no corrections) = -2.98 eV/atom
1.0
3.8264 0.0000 0.0000
0.0000 3.8264 0.0000
0.0000 0.0000 12.1023
Ce Dy S O
2 2 2 4
Cartesian
0.0000 0.0000 0.0000
1.9132 1.9132 6.0511
0.0000 0.0000 3.6128
1.9132 1.9132 9.6639
0.0000 0.0000 7.8501
1.9132 1.9132 1.7990
0.0000 1.9132 4.7589
0.0000 1.9132 10.8100
1.9132 0.0000 4.7589
1.9132 0.0000 10.8100


No. 2
LaTc2Se, optimized geometry, DFT GGA-PBE; formation energy (no corrections) = 0.36 eV/atom
1.0
3.2176 0.0000 0.0000
0.0000 4.2876 0.0000
0.0000 0.0000 5.8982
La Tc Se
1 2 1
Cartesian
0.0000 0.0000 0.0000
1.6088 2.1438 1.8263
1.6088 2.1438 4.0719
0.0000 0.0000 2.9491


No. 3
Pm12Ga5C2, optimized geometry, DFT GGA-PBE; energy relative to the elements = -0.25 eV/atom
1.0
8.8639 -3.6724 0.0000
8.8639 3.6724 0.0000
-4.0647 0.0000 7.8295
Pm Ga C
12 5 2
Cartesian
-1.0825 0.0000 2.3462
4.7433 1.8556 2.5832
2.8052 1.8640 6.7194
10.8579 1.8640 1.1101
8.9197 1.8556 5.2463
5.7989 0.0000 5.2071
7.8641 0.0000 2.6224
4.7433 -1.8556 2.5832
2.8052 -1.8640 6.7194
10.8579 -1.8640 1.1101
8.9197 -1.8556 5.2463
14.7455 0.0000 5.4833
2.3588 0.0000 3.8679
0.3291 0.0000 7.8036
8.8639 0.0000 0.0000
13.3340 0.0000 0.0259
11.3042 0.0000 3.9616
6.8315 1.9405 3.9147
6.8315 -1.9405 3.9147


No. 4
Zr2TcPt, optimized geometry, DFT GGA-PBE; energy relative to the elements = -0.41 eV/atom
1.0
3.4921 0.0000 0.0000
0.0000 3.9339 0.0000
0.0000 0.0000 5.6734
Zr Tc Pt
2 1 1
Cartesian
0.0000 0.0000 0.0000
1.7461 1.9670 1.9891
1.7461 1.9670 4.9213
0.0000 0.0000 2.8994


No. 5
Ac6Te3Ir2Pd, optimized geometry, DFT GGA-PBE; formation energy (no corrections) = -1.13 eV/atom
1.0
3.8529 -6.6703 0.0000
3.8529 6.6703 0.0000
-2.5655 0.0000 7.9875
Ac Te Ir Pd
6 3 2 1
Cartesian
-0.0419 2.3034 6.2955
1.1946 0.0000 1.6763
-0.0419 -2.3034 6.2955
5.1822 2.3034 1.6919
3.9458 0.0000 6.3112
5.1822 -2.3034 1.6919
-1.2827 0.0000 3.9937
2.5702 2.1847 3.9937
2.5702 -2.1847 3.9937
3.8529 4.4424 0.0000
3.8529 -4.4424 0.0000
3.8529 0.0000 0.0000


No. 6
ZnFe2B2Rh5, optimized geometry, DFT GGA-PBE; energy relative to the elements = -0.28 eV/atom
1.0
9.3118 0.0000 0.0000
0.0000 9.3118 0.0000
0.0000 0.0000 2.8772
Zn Fe B Rh
2 4 4 10
Cartesian
0.0000 0.0000 0.0000
4.6559 4.6559 0.0000
1.6551 3.0008 0.0000
3.0008 7.6567 0.0000
6.3110 1.6551 0.0000
7.6567 6.3110 0.0000
1.1931 5.8490 0.0000
3.4628 1.1931 0.0000
5.8490 8.1187 0.0000
8.1187 3.4628 0.0000
0.0000 4.6559 1.4386
0.6575 7.3053 1.4386
2.0064 0.6575 1.4386
2.6494 5.3134 1.4386
3.9984 2.6494 1.4386
4.6559 0.0000 1.4386
5.3134 6.6623 1.4386
6.6623 3.9984 1.4386
7.3053 8.6543 1.4386
8.6543 2.0064 1.4386


No. 7
LaTlCrBr2, optimized geometry, DFT GGA-PBE; formation energy (no corrections) = -0.22 eV/atom
1.0
5.7795 0.0000 0.0000
0.0000 5.7795 0.0000
0.0000 0.0000 6.3896
La Tl Cr Br
1 1 1 2
Cartesian
0.0000 0.0000 0.0000
2.8897 2.8897 3.1948
0.0000 0.0000 3.1948
0.0000 2.8897 0.0000
2.8897 0.0000 0.0000


No. 8
Li2ErSnO4, optimized geometry, DFT GGA-PBE; formation energy (no corrections) = -2.22 eV/atom
1.0
4.4578 0.0000 0.0000
0.0000 4.4578 0.0000
0.0000 0.0000 10.0056
Li Er Sn O
4 2 2 8
Cartesian
0.0000 0.0000 0.0000
0.0000 2.2289 2.5014
2.2289 0.0000 7.5042
2.2289 2.2289 5.0028
0.0000 2.2289 7.5042
2.2289 0.0000 2.5014
0.0000 0.0000 5.0028
2.2289 2.2289 0.0000
0.0000 0.0000 2.6617
0.0000 0.0000 7.3440
0.0000 2.2289 5.1900
0.0000 2.2289 9.8184
2.2289 0.0000 0.1872
2.2289 0.0000 4.8156
2.2289 2.2289 2.3412
2.2289 2.2289 7.6645


No. 9
Ba2BI, optimized geometry, DFT GGA-PBE; energy above the lowest structure with this stoichiometry = 0 meV per atom; formation energy (no corrections) = -0.08 eV/atom
1.0
8.4421 0.0000 0.0000
0.0000 8.4421 0.0000
0.0000 0.0000 9.4747
Ba B I
8 4 4
Cartesian
1.5653 2.1105 1.1843
2.1105 5.7864 3.5530
2.1105 6.8768 8.2903
2.6557 2.1105 5.9217
5.7864 6.3316 5.9217
6.3316 1.5653 8.2903
6.3316 2.6557 3.5530
6.8768 6.3316 1.1843
0.0000 0.0000 0.0000
0.0000 4.2211 2.3687
4.2211 0.0000 7.1060
4.2211 4.2211 4.7373
0.0000 0.0000 4.7373
0.0000 4.2211 7.1060
4.2211 0.0000 2.3687
4.2211 4.2211 0.0000


No. 10
ScBeAs2, optimized geometry, DFT GGA-PBE; energy relative to the elements = -0.30 eV/atom
1.0
3.6442 0.0000 0.0000
0.0000 3.9289 0.0000
0.0000 0.0000 4.6554
Sc Be As
1 1 2
Cartesian
0.0000 0.0000 0.0000
0.0000 1.9644 2.3277
1.8221 0.0000 2.3277
1.8221 1.9644 0.0000


No. 11
Pm2Sm4Y2Er, optimized geometry, DFT GGA-PBE; energy relative to the elements = 0.00 eV/atom
1.0
9.4387 -1.8216 0.0000
9.4387 1.8216 0.0000
-4.1953 0.0000 8.7217
Pm Sm Y Er
2 4 2 1
Cartesian
1.0323 0.0000 4.3537
13.6497 0.0000 4.3679
-3.1461 0.0000 7.2608
5.2424 0.0000 1.4546
9.4396 0.0000 7.2670
17.8281 0.0000 1.4608
3.1563 0.0000 7.2729
11.5257 0.0000 1.4488
7.3410 0.0000 4.3608


No. 12
TeRu3F, optimized geometry, DFT GGA-PBE; energy above the lowest structure with this stoichiometry = 0 meV per atom; formation energy (no corrections) = 0.93 eV/atom
1.0
4.2907 0.0000 0.0000
0.0000 4.2907 0.0000
0.0000 0.0000 4.2907
Te Ru F
1 3 1
Cartesian
0.0000 0.0000 0.0000
0.0000 2.1454 2.1454
2.1454 0.0000 2.1454
2.1454 2.1454 0.0000
2.1454 2.1454 2.1454